A relaxed structure of Si2AgRh. Source: Alexandria via LeMat-Bulk, functional PBE.

Cell and atoms, written as POSCAR:
```
Si2AgRh
1.0
1.492 0.862 7.919
-1.492 0.862 7.919
0.000 -1.723 7.919
Si Ag Rh
2 1 1
Cartesian
0.000 0.000 0.000 Si
0.000 0.000 6.116 Si
0.000 0.000 17.914 Ag
0.000 0.000 12.375 Rh
```

Output
E above lowest polymorph: 174 meV/atom
Density of states at the Fermi level: 0.660 states/eV per atom
Uncorrected formation energy: 0.004 eV/atom
Total energy: -21.03 eV/cell
Theoretical density: 7.3 g cm⁻³



A relaxed structure of LaCo2Pb. Source: Alexandria via LeMat-Bulk, functional PBE.

Cell and atoms, written as POSCAR:
```
LaCo2Pb
1.0
-2.328 2.328 8.194
2.328 -2.328 8.194
2.328 2.328 -8.194
La Co Pb
2 4 2
Cartesian
0.000 0.000 0.000 La
0.000 2.328 4.097 La
3.492 0.856 -2.049 Co
0.856 1.164 2.049 Co
-1.164 1.472 6.146 Co
1.472 1.164 10.243 Co
2.328 0.000 4.097 Pb
0.000 0.000 8.194 Pb
```

Output
Formation enthalpy at 0 K: 515 meV/atom
Density of states at the Fermi level: 1.067 states/eV per atom
Total energy: -41.57 eV/cell
Theoretical density: 8.7 g cm⁻³



A relaxed structure of LiPaAgTe3. Source: Alexandria via LeMat-Bulk, functional PBE.

Cell and atoms, written as POSCAR:
```
LiPaAgTe3
1.0
8.231 0.000 0.000
0.000 4.185 0.000
-2.648 0.000 9.530
Li Pa Ag Te
2 2 2 6
Cartesian
0.643 1.046 0.986 Li
4.941 3.139 8.545 Li
-0.295 1.046 6.982 Pa
5.879 3.139 2.548 Pa
1.802 3.139 2.760 Ag
3.782 1.046 6.770 Ag
-0.275 1.046 3.661 Te
-0.574 3.139 9.357 Te
1.776 3.139 6.149 Te
3.807 1.046 3.381 Te
6.158 1.046 0.174 Te
5.859 3.139 5.869 Te
```

Output
Density of states at the Fermi level: 0.834 states/eV per atom
Uncorrected formation energy: -0.614 eV/atom
Total energy: -54.74 eV/cell
Theoretical density: 7.4 g cm⁻³



A relaxed structure of AgSb2Br8. Source: Alexandria via LeMat-Bulk, functional PBE.

Cell and atoms, written as POSCAR:
```
AgSb2Br8
1.0
5.466 -5.663 0.000
5.466 5.663 0.000
-1.079 0.000 7.060
Ag Sb Br
1 2 8
Cartesian
0.000 0.000 0.000 Ag
2.639 0.000 3.163 Sb
7.214 0.000 3.896 Sb
2.992 3.794 5.186 Br
1.033 0.000 5.481 Br
6.861 3.794 1.874 Br
4.766 0.000 1.551 Br
5.088 0.000 5.508 Br
2.992 -3.794 5.186 Br
8.820 0.000 1.579 Br
6.861 -3.794 1.874 Br
```

Output
E above lowest polymorph: 6 meV/atom
Density of states at the Fermi level: 0.409 states/eV per atom
Uncorrected formation energy: -0.427 eV/atom
Total energy: -29.18 eV/cell
Theoretical density: 3.8 g cm⁻³



A relaxed structure of Ca3Zn8Cd3. Source: Alexandria via LeMat-Bulk, functional PBE.

Cell and atoms, written as POSCAR:
```
Ca3Zn8Cd3
1.0
-2.245 4.654 6.866
2.245 -4.654 6.866
2.245 4.654 -6.866
Ca Zn Cd
3 8 3
Cartesian
0.000 0.000 0.000 Ca
0.000 0.000 4.122 Ca
0.000 0.000 9.611 Ca
2.245 -1.277 2.353 Zn
2.245 -2.106 4.892 Zn
2.245 1.277 2.353 Zn
0.000 2.549 1.974 Zn
2.245 2.106 4.892 Zn
0.000 3.378 4.513 Zn
0.000 6.760 1.974 Zn
0.000 5.931 4.513 Zn
2.245 2.670 0.000 Cd
0.000 4.654 0.000 Cd
0.000 1.985 6.866 Cd
```

Output
Formation enthalpy at 0 K: -244 meV/atom
Density of states at the Fermi level: 0.363 states/eV per atom
Total energy: -22.36 eV/cell
Theoretical density: 5.7 g cm⁻³



A relaxed structure of PrMn2Ni5. Source: Alexandria via LeMat-Bulk, functional PBE.

Cell and atoms, written as POSCAR:
```
PrMn2Ni5
1.0
-1.876 3.315 4.690
1.876 -3.315 4.690
1.876 3.315 -4.690
Pr Mn Ni
1 2 5
Cartesian
0.000 0.000 0.000 Pr
1.876 0.000 2.393 Mn
0.000 3.315 2.297 Mn
1.876 2.088 -1.288 Ni
1.876 2.088 1.288 Ni
0.000 3.315 0.000 Ni
0.000 1.227 3.402 Ni
0.000 1.227 5.978 Ni
```

Output
Formation enthalpy at 0 K: 14 meV/atom
Density of states at the Fermi level: 0.827 states/eV per atom
Total energy: -51.91 eV/cell
Theoretical density: 7.7 g cm⁻³